# MgTe4Pb6Br4O12 PBE optimized geometry
# **M_tot**: 0.0 μB per formula unit
# **E_form (uncorrected)**: -27.94 eV/f.u.
# **Calculated volume**: 1154.3 Å³ per cell
data_MgTe4Pb6Br4O12
_symmetry_space_group_name_H-M 'C 1 2 1'
_symmetry_Int_Tables_number 5
_symmetry_space_group_name_Hall 'C 2y'
_cell_length_a 18.052
_cell_length_b 5.862
_cell_length_c 11.429
_cell_angle_alpha 90.00
_cell_angle_beta 107.34
_cell_angle_gamma 90.00
loop_
_atom_site_label
_atom_site_fract_x
_atom_site_fract_y
_atom_site_fract_z
_atom_site_occupancy
Mg1 0.000 0.000 0.000 1
Te1 0.098 0.157 0.553 1
Te2 0.130 0.639 0.079 1
Pb1 0.032 0.650 0.697 1
Pb2 0.176 0.181 0.901 1
Pb3 0.249 0.182 0.292 1
Br1 0.043 0.181 0.212 1
Br2 0.186 0.632 0.394 1
O1 0.000 0.373 0.500 1
O2 0.000 0.953 0.500 1
O3 0.115 0.583 0.908 1
O4 0.129 0.378 0.686 1
O5 0.132 0.914 0.677 1
O6 0.207 0.876 0.106 1
O7 0.216 0.402 0.110 1

# RbMgBr3O6 PBE optimized geometry
# **M_tot**: 2.1 μB per formula unit
# **E_form (uncorrected)**: -5.66 eV/f.u.
# **Calculated volume**: 906.6 Å³ per cell
data_RbMgBr3O6
_symmetry_space_group_name_H-M 'C 1 2/c 1'
_symmetry_Int_Tables_number 15
_symmetry_space_group_name_Hall '-C 2yc'
_cell_length_a 11.803
_cell_length_b 7.242
_cell_length_c 10.880
_cell_angle_alpha 90.00
_cell_angle_beta 102.90
_cell_angle_gamma 90.00
loop_
_atom_site_label
_atom_site_fract_x
_atom_site_fract_y
_atom_site_fract_z
_atom_site_occupancy
Rb1 0.000 0.033 0.250 1
Mg1 0.250 0.250 0.000 1
Br1 0.164 0.398 0.749 1
Br2 0.250 0.250 0.500 1
O1 0.094 0.322 0.870 1
O2 0.196 0.137 0.161 1
O3 0.249 0.489 0.588 1

# RbMgBr3O6 PBE optimized geometry
# **M_tot**: 0.3 μB per formula unit
# **E_form (uncorrected)**: -4.23 eV/f.u.
# **Calculated volume**: 1038.7 Å³ per cell
data_RbMgBr3O6
_symmetry_space_group_name_H-M 'C 1 2/c 1'
_symmetry_Int_Tables_number 15
_symmetry_space_group_name_Hall '-C 2yc'
_cell_length_a 14.025
_cell_length_b 5.922
_cell_length_c 13.621
_cell_angle_alpha 90.00
_cell_angle_beta 113.35
_cell_angle_gamma 90.00
loop_
_atom_site_label
_atom_site_fract_x
_atom_site_fract_y
_atom_site_fract_z
_atom_site_occupancy
Rb1 0.000 0.050 0.250 1
Mg1 0.250 0.250 0.500 1
Br1 0.234 0.469 0.771 1
Br2 0.250 0.250 0.000 1
O1 0.152 0.032 0.959 1
O2 0.154 0.462 0.982 1
O3 0.198 0.290 0.331 1

# RbMgBr3O6 PBE optimized geometry
# **M_tot**: 4.0 μB per formula unit
# **E_form (uncorrected)**: -5.13 eV/f.u.
# **Calculated volume**: 1160.1 Å³ per cell
data_RbMgBr3O6
_symmetry_space_group_name_H-M 'C 1 2/c 1'
_symmetry_Int_Tables_number 15
_symmetry_space_group_name_Hall '-C 2yc'
_cell_length_a 7.322
_cell_length_b 12.016
_cell_length_c 13.195
_cell_angle_alpha 90.00
_cell_angle_beta 92.16
_cell_angle_gamma 90.00
loop_
_atom_site_label
_atom_site_fract_x
_atom_site_fract_y
_atom_site_fract_z
_atom_site_occupancy
Rb1 0.000 0.130 0.250 1
Mg1 0.250 0.250 0.500 1
Br1 0.249 0.376 0.283 1
Br2 0.250 0.250 0.000 1
O1 0.011 0.206 0.031 1
O2 0.081 0.486 0.505 1
O3 0.205 0.253 0.650 1

Question: Among the records above, which one has the highest M_tot?
Answer: number 4

Question: Which of these has the highest M_tot?
Answer: number 4